Here is BaCd2Se after structural relaxation from Alexandria via LeMat-Bulk. Energies are from PBE.

Lattice parameters (Å, degrees): 4.5535 4.5535 6.1504 90.00 90.00 90.00
Atoms (fractional coordinates):
Ba (0.0000, 0.0000, 0.0000)
Cd (0.0000, 0.5000, 0.5000)
Cd (0.5000, 0.0000, 0.5000)
Se (0.5000, 0.5000, 0.0000)

Calculated values
* raw formation energy: -0.7257 eV per atom
* D(E_F): 0.200 states/eV/atom
* volume: 127.5 Å³/cell
* calculated density: 5.74 g/cm³
* total energy: -2.535 eV/atom
* space-group type: P4/mmm, No. 123
* magnetic moment: 0.000 μB/f.u.

Here is Zn2CuTcN after structural relaxation from Alexandria via LeMat-Bulk. Energies are from PBE.

Lattice parameters (Å, degrees): 4.1688 4.1688 3.7695 90.00 90.00 90.00
Atoms (fractional coordinates):
Zn (0.0000, 0.5000, 0.0000)
Zn (0.5000, 0.0000, 0.0000)
Cu (0.0000, 0.0000, 0.5000)
Tc (0.5000, 0.5000, 0.5000)
N (0.0000, 0.0000, 0.0000)

Calculated values
* raw formation energy: 0.7082 eV per atom
* D(E_F): 0.640 states/eV/atom
* volume: 65.5 Å³/cell
* calculated density: 7.77 g/cm³
* total energy: -4.359 eV/atom
* space-group type: P4/mmm, No. 123
* magnetic moment: 1.754 μB/f.u.

Here is Sm12Ho5Mg2 after structural relaxation from Alexandria via LeMat-Bulk. Energies are from PBE.

Lattice parameters (Å, degrees): 9.1001 9.1001 8.5236 91.89 91.89 60.56
Atoms (fractional coordinates):
Sm (0.0590, 0.0590, 0.3391)
Sm (0.0675, 0.6787, 0.3221)
Sm (0.1665, 0.5351, 0.7630)
Sm (0.3213, 0.9325, 0.6779)
Sm (0.4191, 0.4191, 0.1178)
Sm (0.4649, 0.8335, 0.2370)
Sm (0.5351, 0.1665, 0.7630)
Sm (0.5809, 0.5809, 0.8822)
Sm (0.6787, 0.0675, 0.3221)
Sm (0.8335, 0.4649, 0.2370)
Sm (0.9325, 0.3213, 0.6779)
Sm (0.9410, 0.9410, 0.6609)
Ho (0.2028, 0.2028, 0.0238)
Ho (0.2679, 0.2679, 0.4273)
Ho (0.5000, 0.5000, 0.5000)
Ho (0.7321, 0.7321, 0.5727)
Ho (0.7972, 0.7972, 0.9762)
Mg (0.1650, 0.8350, 0.0000)
Mg (0.8350, 0.1650, 0.0000)

Calculated values
* D(E_F): 1.577 states/eV/atom
* volume: 614.3 Å³/cell
* calculated density: 7.24 g/cm³
* total energy: -4.257 eV/atom
* space-group type: C2/m, No. 12
* magnetic moment: 0.000 μB/f.u.